# Ac8Ge3CI4 GGA-PBE optimized geometry
data_Ac8Ge3CI4
_chemical_formula_sum 'Ac8 Ge3 C1 I4'
_cell_length_a 8.9926
_cell_length_b 9.7491
_cell_length_c 8.9925
_cell_angle_alpha 117.47
_cell_angle_beta 120.00
_cell_angle_gamma 90.00
_symmetry_space_group_name_H-M 'P 1'
_symmetry_Int_Tables_number 1
_symmetry_space_group_name_Hall 'P 1'
loop_
_atom_site_label
_atom_site_fract_x
_atom_site_fract_y
_atom_site_fract_z
_atom_site_occupancy
Ac1 0.2162 0.6894 0.9732 1
Ac2 0.2163 0.6894 0.4326 1
Ac3 0.2657 0.2970 0.5313 1
Ac4 0.7570 0.6894 0.9732 1
Ac5 0.2430 0.3106 0.0268 1
Ac6 0.7343 0.7030 0.4687 1
Ac7 0.7837 0.3106 0.5674 1
Ac8 0.7838 0.3106 0.0268 1
Ge1 0.5000 0.5000 0.0000 1
Ge2 0.5000 0.5000 0.5000 1
Ge3 0.0000 0.5000 0.5000 1
C1 0.0000 0.5000 0.0000 1
I1 0.5000 0.0000 0.0000 1
I2 0.5000 0.0000 0.5000 1
I3 0.0000 0.0000 0.0000 1
I4 0.0000 0.0000 0.5000 1
# **Spin magnetization**: 0.0 Bohr magnetons per cell
# **Uncorrected formation energy**: -0.8762 eV per atom
# **Raw total energy**: -4.760 eV/atom
# **N(E_F)**: 0.47 states/eV/atom
# **Calculated volume**: 36.115 Å³/atom